! PBE with a Hubbard U BaRe2MoO8, optimized geometry; values from VASP
! calculated total energy: -7.811 eV/atom
! M_tot: 0.000 μB/f.u.
! Fermi-level density of states: 6.6 states/eV per cell
! theoretical density: 5.6 g cm⁻³
&SYSTEM
  ibrav = 0, nat = 12, ntyp = 4
/
ATOMIC_SPECIES
O 16.00 O.upf
Re 186.21 Re.upf
Mo 95.94 Mo.upf
Ba 137.33 Ba.upf
CELL_PARAMETERS angstrom
-0.258 -5.632 -1.628
5.196 2.688 0.455
0.447 -2.059 7.053
ATOMIC_POSITIONS angstrom
O 3.378 -0.086 -0.237
O 4.477 -2.971 4.085
O 3.446 -3.571 1.185
O 0.909 -2.033 1.795
O 2.007 -4.917 6.117
O 1.940 -1.432 4.695
O 0.753 -4.939 0.956
O 4.633 -0.064 4.924
Re 3.716 -1.641 5.090
Re 1.670 -3.362 0.791
Mo 0.224 -1.030 3.526
Ba 0.000 0.000 0.000